PaTa2Tl2S6: optimized geometry, GGA-PBE.

Unit cell a=6.1845 b=6.1845 c=8.1264 alpha=95.75 beta=95.75 gamma=117.44
Last column: nearest neighbours and their distance in Å.
Sites, in units of the cell vectors:
Pa (0.0000, 0.0000, 0.5000)  6 S 2.67-2.73
Tl (0.1772, 0.8228, 0.0000)  6 S 3.21-3.28, 2 Tl 3.56
Tl (0.8228, 0.1772, 0.0000)  6 S 3.21-3.28, 2 Tl 3.56
S (0.5902, 0.9515, 0.3202)  2 Ta 2.52-2.67, 1 Pa 2.67
S (0.4098, 0.0485, 0.6798)  2 Ta 2.52-2.67, 1 Pa 2.67
S (0.9515, 0.5902, 0.3202)  2 Ta 2.52-2.67, 1 Pa 2.67
S (0.0485, 0.4098, 0.6798)  2 Ta 2.52-2.67, 1 Pa 2.67
S (0.7151, 0.7151, 0.7089)  2 Ta 2.45, 1 Pa 2.73
S (0.2848, 0.2848, 0.2911)  2 Ta 2.45, 1 Pa 2.73
Ta (0.3622, 0.6378, 0.5000)  6 S 2.45-2.67
Ta (0.6378, 0.3622, 0.5000)  6 S 2.45-2.67

E_form (uncorrected)   -0.9867 eV/atom
Symmetry   No. 12